Run w
This record from Alexandria via LeMat-Bulk describes crystalline BC2 at its relaxed geometry. The functional is PBE.

Cell: 4.6205 7.7069 4.6595 Å, 90.00 111.78 90.00°
Last column: nearest neighbours and their distance in Å.
Space group Cm (No. 8)
Symmetry-distinct sites (fractional):
B 0.0000 0.0000 0.0000 [2 per cell]  2 C 1.59-1.63
B 0.0207 0.5000 0.4774 [2 per cell]  4 C 1.63-1.72
B 0.1502 0.1716 0.8371 [4 per cell]  3 C 1.59-1.69
C 0.0102 0.1684 0.4657 [4 per cell]  3 C 1.53-1.59, 1 B 1.61
C 0.0195 0.3362 0.9956 [4 per cell]  2 C 1.53-1.54, 2 B 1.59-1.69
C 0.1211 0.5000 0.8727 [2 per cell]  2 C 1.53, 1 B 1.63
C 0.1219 0.0000 0.3679 [2 per cell]  2 C 1.53, 1 B 1.59
C 0.1414 0.3285 0.3504 [4 per cell]  3 C 1.54-1.59, 1 B 1.63

Computed properties:
As for the density of states at the Fermi level: 0.6 states/eV/f.u. The total magnetic moment comes out at 0.0 μB/f.u.

Run x
This record from Alexandria via LeMat-Bulk describes crystalline BC2 at its relaxed geometry. The functional is PBE.

Cell: 2.6263 2.6263 14.3866 Å, 90.00 90.00 120.00°
Last column: nearest neighbours and their distance in Å.
Space group P3m1 (No. 156)
Symmetry-distinct sites (fractional):
B 0.0000 0.0000 0.0000 [1 per cell]  3 C 1.53
B 0.0000 0.0000 0.2512 [1 per cell]  3 C 1.53
B 0.3333 0.6667 0.8309 [1 per cell]  4 C 1.60-1.66
B 0.6667 0.3333 0.5302 [1 per cell]  4 C 1.62-1.66
C 0.0000 0.0000 0.5776 [1 per cell]  1 C 1.49, 3 B 1.66
C 0.0000 0.0000 0.6813 [1 per cell]  4 C 1.49-1.61
C 0.3333 0.6667 0.2657 [1 per cell]  3 B 1.53, 1 C 1.69
C 0.3333 0.6667 0.3829 [1 per cell]  4 C 1.59-1.69
C 0.3333 0.6667 0.7195 [1 per cell]  1 B 1.60, 3 C 1.61
C 0.6667 0.3333 0.4173 [1 per cell]  3 C 1.59, 1 B 1.62
C 0.6667 0.3333 0.8783 [1 per cell]  1 C 1.55, 3 B 1.66
C 0.6667 0.3333 0.9863 [1 per cell]  3 B 1.53, 1 C 1.55

Computed properties:
As for the density of states at the Fermi level: 0.2 states/eV/f.u. The total magnetic moment comes out at 0.0 μB/f.u.

run x (55 meV per atom below the next structure)

Run w
This record from Alexandria via LeMat-Bulk describes crystalline SiTc3 at its relaxed geometry. The functional is PBE.

Cell: 2.8541 2.8541 8.0147 Å, 90.00 90.00 120.00°
Last column: nearest neighbours and their distance in Å.
Space group P-6m2 (No. 187)
Symmetry-distinct sites (fractional):
Si 0.0000 0.0000 0.0000 [1 per cell]  6 Tc 2.50
Tc 0.0000 0.0000 0.5000 [1 per cell]  12 Tc 2.69-2.85
Tc 0.6667 0.3333 0.2353 [2 per cell]  3 Si 2.50, 3 Tc 2.69

Computed properties:
As for the density of states at the Fermi level: 3.1 states/eV/f.u. The total magnetic moment comes out at 0.0 μB/f.u.

Run x
This record from Alexandria via LeMat-Bulk describes crystalline SiTc3 at its relaxed geometry. The functional is PBE.

Cell: 5.4088 5.4088 4.4274 Å, 90.00 90.00 120.00°
Last column: nearest neighbours and their distance in Å.
Space group P6_3/mmc (No. 194)
Symmetry-distinct sites (fractional):
Si 0.3333 0.6667 0.2500 [2 per cell]  12 Tc 2.68-2.70
Tc 0.1712 0.3424 0.7500 [6 per cell]  8 Tc 2.63-2.78, 4 Si 2.68-2.70

Computed properties:
As for the density of states at the Fermi level: 5.1 states/eV/f.u. The total magnetic moment comes out at 0.0 μB/f.u.

run w (91 meV per atom below the next structure)

Run w
This record from Alexandria via LeMat-Bulk describes crystalline B5C7 at its relaxed geometry. The functional is PBE.

Cell: 13.3114 2.6012 4.6456 Å, 90.00 105.29 90.00°
Last column: nearest neighbours and their distance in Å.
Space group Cm (No. 8)
Symmetry-distinct sites (fractional):
B 0.0000 0.0000 0.0000 [2 per cell]  2 C 1.56-1.57
B 0.0043 0.5000 0.6040 [2 per cell]  2 C 1.56, 1 B 1.72
B 0.0507 0.5000 0.2739 [2 per cell]  1 C 1.64, 3 B 1.80-1.82
B 0.3517 0.0000 0.6918 [2 per cell]  3 C 1.59-1.73
B 0.3847 0.0000 0.3446 [2 per cell]  2 C 1.62, 2 B 1.72-1.78
C 0.0599 0.0000 0.7499 [2 per cell]  1 C 1.51, 3 B 1.56-1.57
C 0.1773 0.0000 0.8584 [2 per cell]  4 C 1.51-1.65
C 0.1786 0.5000 0.3662 [2 per cell]  3 C 1.57-1.63, 1 B 1.64
C 0.2156 0.5000 0.0589 [2 per cell]  4 C 1.52-1.63
C 0.2174 0.0000 0.5518 [2 per cell]  3 C 1.57-1.65, 1 B 1.73
C 0.3341 0.5000 0.1519 [2 per cell]  2 C 1.47-1.52, 2 B 1.62
C 0.3785 0.5000 0.8939 [2 per cell]  1 C 1.47, 3 B 1.56-1.59

Computed properties:
As for the density of states at the Fermi level: 1.3 states/eV/f.u. The total magnetic moment comes out at 0.0 μB/f.u.

Run x
This record from Alexandria via LeMat-Bulk describes crystalline B5C7 at its relaxed geometry. The functional is PBE.

Cell: 3.7623 4.5770 5.2948 Å, 75.72 89.36 65.77°
Last column: nearest neighbours and their distance in Å.
Space group P1 (No. 1)
Symmetry-distinct sites (fractional):
B 0.0000 0.0000 0.0000 [1 per cell]  3 C 1.57-1.61
B 0.0896 0.9428 0.5830 [1 per cell]  2 C 1.55-1.56
B 0.3599 0.0011 0.3175 [1 per cell]  2 C 1.57-1.62, 1 B 1.76
B 0.5886 0.3700 0.4402 [1 per cell]  3 C 1.62-1.64
B 0.7236 0.6578 0.8746 [1 per cell]  4 C 1.64-1.71
C 0.3164 0.0026 0.7937 [1 per cell]  1 C 1.54, 3 B 1.55-1.65
C 0.3735 0.3445 0.1872 [1 per cell]  2 C 1.52-1.53, 2 B 1.57-1.63
C 0.3934 0.3166 0.7157 [1 per cell]  3 C 1.54-1.61, 1 B 1.64
C 0.6156 0.3303 0.9547 [1 per cell]  2 C 1.52-1.55, 2 B 1.57-1.67
C 0.7509 0.6552 0.3781 [1 per cell]  2 C 1.53-1.54, 2 B 1.62
C 0.9826 0.6394 0.6237 [1 per cell]  2 C 1.54-1.61, 2 B 1.56-1.64
C 0.9833 0.6534 0.1388 [1 per cell]  2 C 1.53, 2 B 1.60-1.71

Computed properties:
As for the density of states at the Fermi level: 1.9 states/eV/f.u. The total magnetic moment comes out at 0.0 μB/f.u.

run x (26 meV per atom below the next structure)